(1)
The following is a GGA-PBE calculation of SrTl2HgPd after structural relaxation, from the Alexandria database.

abc: 5.314 5.314 5.822
angles: 90.00 90.00 90.00
Fractional coordinates of all 5 atoms:
Sr  0.000  0.000  0.000
Tl  0.000  0.500  0.500
Tl  0.500  0.000  0.500
Hg  0.500  0.500  0.000
Pd  0.000  0.000  0.500

The space group is P4/mmm. The energy comes out at -2.630 eV/atom. For the excess energy over the best structure of this formula in the dataset, the calculation gives 0.000 eV/atom. Its formation energy from the elements is -0.2478 eV/atom.

(2)
The following is a GGA-PBE calculation of AlCrAg2 after structural relaxation, from the Alexandria database.

abc: 9.223 9.223 9.223
angles: 17.92 17.92 17.92
Fractional coordinates of all 4 atoms:
Al  0.000  0.000  0.000
Cr  0.260  0.260  0.260
Ag  0.509  0.509  0.509
Ag  0.751  0.751  0.751

The space group is R3m. The energy comes out at -4.544 eV/atom. Its formation energy from the elements is 0.2233 eV/atom.

(3)
The following is a GGA-PBE calculation of Pa2AgSn after structural relaxation, from the Alexandria database.

abc: 11.973 11.973 11.973
angles: 15.00 15.00 15.00
Fractional coordinates of all 4 atoms:
Pa  0.088  0.088  0.088
Pa  0.912  0.912  0.912
Ag  0.000  0.000  0.000
Sn  0.500  0.500  0.500

The space group is R-3m. The energy comes out at -6.204 eV/atom. For the excess energy over the best structure of this formula in the dataset, the calculation gives 0.299 eV/atom. Its formation energy from the elements is 0.2574 eV/atom.

(4)
The following is a GGA-PBE calculation of ScReHg2 after structural relaxation, from the Alexandria database.

abc: 5.168 5.168 3.026
angles: 90.00 90.00 111.29
Fractional coordinates of all 4 atoms:
Sc  0.000  0.000  0.000
Re  0.500  0.500  0.000
Hg  0.000  0.500  0.500
Hg  0.500  0.000  0.500

The space group is Cmmm. The energy comes out at -4.496 eV/atom. For the excess energy over the best structure of this formula in the dataset, the calculation gives 0.098 eV/atom. Its formation energy from the elements is 0.3500 eV/atom.

(5)
The following is a GGA-PBE calculation of GeMoS2N after structural relaxation, from the Alexandria database.

abc: 4.852 4.852 3.797
angles: 90.00 90.00 90.00
Fractional coordinates of all 5 atoms:
Ge  0.000  0.000  0.000
Mo  0.500  0.500  0.500
S  0.000  0.500  0.500
S  0.500  0.000  0.500
N  0.500  0.500  0.000

The space group is P4/mmm. The energy comes out at -6.250 eV/atom. For the excess energy over the best structure of this formula in the dataset, the calculation gives 0.000 eV/atom.

(6)
The following is a GGA-PBE calculation of BTeW2S after structural relaxation, from the Alexandria database.

abc: 5.109 5.109 5.104
angles: 90.00 90.00 90.00
Fractional coordinates of all 5 atoms:
B  0.000  0.000  0.000
Te  0.500  0.500  0.500
W  0.000  0.500  0.500
W  0.500  0.000  0.500
S  0.500  0.500  0.000

The space group is P4/mmm. The energy comes out at -4.852 eV/atom.

(7)
The following is a GGA-PBE calculation of Pa3FeNi8 after structural relaxation, from the Alexandria database.

abc: 8.698 8.698 8.698
angles: 32.85 32.85 32.85
Fractional coordinates of all 12 atoms:
Pa  0.000  0.000  0.000
Pa  0.131  0.131  0.131
Pa  0.611  0.611  0.611
Fe  0.488  0.488  0.488
Ni  0.056  0.056  0.562
Ni  0.056  0.562  0.056
Ni  0.062  0.559  0.559
Ni  0.309  0.309  0.309
Ni  0.559  0.062  0.559
Ni  0.559  0.559  0.062
Ni  0.562  0.056  0.056
Ni  0.809  0.809  0.809

The space group is R3m. The energy comes out at -7.264 eV/atom. Its formation energy from the elements is -0.3303 eV/atom.

(8)
The following is a GGA-PBE calculation of Sc3BiS after structural relaxation, from the Alexandria database.

abc: 4.864 4.864 4.864
angles: 90.00 90.00 90.00
Fractional coordinates of all 5 atoms:
Sc  0.000  0.000  0.500
Sc  0.000  0.500  0.000
Sc  0.500  0.000  0.000
Bi  0.500  0.500  0.500
S  0.000  0.000  0.000

The space group is Pm-3m. The energy comes out at -6.234 eV/atom. For the excess energy over the best structure of this formula in the dataset, the calculation gives 0.138 eV/atom.

(9)
The following is a GGA-PBE calculation of Li2B3C3 after structural relaxation, from the Alexandria database.

abc: 2.725 2.725 20.993
angles: 90.00 90.00 120.00
Fractional coordinates of all 16 atoms:
Li  0.000  0.000  0.163
Li  0.000  0.000  0.337
Li  0.000  0.000  0.663
Li  0.000  0.000  0.837
B  0.333  0.667  0.079
B  0.333  0.667  0.421
B  0.333  0.667  0.750
B  0.667  0.333  0.250
B  0.667  0.333  0.579
B  0.667  0.333  0.921
C  0.333  0.667  0.250
C  0.333  0.667  0.582
C  0.333  0.667  0.918
C  0.667  0.333  0.082
C  0.667  0.333  0.418
C  0.667  0.333  0.750

The space group is P6_3/mmc. The energy comes out at -6.572 eV/atom. For the excess energy over the best structure of this formula in the dataset, the calculation gives 0.047 eV/atom. Its formation energy from the elements is -0.1304 eV/atom.

(10)
The following is a GGA-PBE calculation of Rb4PtI8 after structural relaxation, from the Alexandria database.

abc: 9.461 9.461 9.461
angles: 107.39 107.39 113.72
Fractional coordinates of all 13 atoms:
Rb  0.000  0.000  0.500
Rb  0.000  0.500  0.000
Rb  0.500  0.000  0.000
Rb  0.500  0.500  0.500
Pt  0.000  0.000  0.000
I  0.000  0.235  0.235
I  0.000  0.765  0.765
I  0.235  0.000  0.235
I  0.251  0.500  0.751
I  0.500  0.251  0.751
I  0.500  0.749  0.249
I  0.749  0.500  0.249
I  0.765  0.000  0.765

The space group is I4/mmm. The energy comes out at -2.561 eV/atom.

(11)
The following is a GGA-PBE calculation of Mn2BeCu after structural relaxation, from the Alexandria database.

abc: 4.607 4.607 4.607
angles: 143.74 133.16 60.63
Fractional coordinates of all 4 atoms:
Mn  0.242  0.242  0.000
Mn  0.758  0.758  0.000
Be  0.000  0.500  0.500
Cu  0.500  0.000  0.500

The space group is Immm. The energy comes out at -6.400 eV/atom. Its formation energy from the elements is 0.1399 eV/atom.

(12)
The following is a GGA-PBE calculation of Ni4BiPd after structural relaxation, from the Alexandria database.

abc: 4.913 4.913 4.913
angles: 60.00 60.00 60.00
Fractional coordinates of all 6 atoms:
Ni  0.376  0.376  0.376
Ni  0.376  0.376  0.872
Ni  0.376  0.872  0.376
Ni  0.872  0.376  0.376
Bi  0.000  0.000  0.000
Pd  0.750  0.750  0.750

The space group is F-43m. The energy comes out at -5.282 eV/atom. Its formation energy from the elements is 0.0843 eV/atom.